1.
A plane-wave DFT calculation with PBE was carried out for an optimized crystal structure of RbO3F.

abc: 5.7498 5.7498 5.7498
angles: 90.00 90.00 90.00
Closest atoms and distances in Å follow each position.
Space group Pm-3m (No. 221)
Unique sites:
Rb: 0.0000 0.0000 0.0000 x1  6 O 2.87
O: 0.0000 0.0000 0.5000 x3  2 Rb 2.87
F: 0.5000 0.5000 0.5000 x1  12 O 4.07

Summary:
**M_tot**: 6.00 μB/f.u.
**Theoretical density**: 1.332 Mg/m³
**ΔE_f (raw)**: 945 meV per atom
**Crystal system**: cubic

=====

2.
A plane-wave DFT calculation with PBE was carried out for an optimized crystal structure of Rb4OF3.

abc: 5.7116 5.7116 11.6864
angles: 90.00 90.00 90.00
Closest atoms and distances in Å follow each position.
Space group I4/mmm (No. 139)
Unique sites:
Rb: 0.0000 0.0000 0.2443 x4  5 F 2.86, 1 O 2.99
Rb: 0.0000 0.5000 0.0000 x4  2 O 2.86, 4 F 2.86-2.92
O: 0.0000 0.0000 0.5000 x2  6 Rb 2.86-2.99
F: 0.0000 0.0000 0.0000 x2  6 Rb 2.86
F: 0.0000 0.5000 0.2500 x4  6 Rb 2.86-2.92

Summary:
**M_tot**: 1.00 μB/f.u.
**Theoretical density**: 3.614 Mg/m³
**ΔE_f (raw)**: -2141 meV per atom
**Crystal system**: tetragonal